Crystalline Tb10Nd4Mg at its relaxed geometry. Source: Alexandria via LeMat-Bulk, functional PBE.

## Properties
**Energy of formation**: 34 kJ/mol of atoms
**VASP energy**: -4.116 eV/atom

Structure (POSCAR):
```
Tb10Nd4Mg
1.0
-4.9343 4.9343 5.2693
4.9343 -4.9343 5.2693
4.9343 4.9343 -5.2693
Tb Nd Mg
10 4 1
direct
0.0501 0.9488 0.3226
0.0512 0.3738 0.1013
0.2500 0.7500 0.5000
0.2725 0.9499 0.8987
0.3738 0.2725 0.3226
0.6262 0.7276 0.6774
0.7276 0.0501 0.1013
0.7500 0.2500 0.5000
0.9488 0.6262 0.8987
0.9499 0.0512 0.6774
0.1724 0.4310 0.6033
0.4310 0.8276 0.2586
0.5690 0.1724 0.7414
0.8276 0.5690 0.3967
0.5000 0.5000 0.0000
```